Record 1
Entry from Alexandria: a relaxed structure of LaAl2BiP (PBE).

Output
Space group: P4/mmm
Energy (hartree per atom): -0.134
Formation enthalpy at 0 K (eV per atom): 0.70

POSCAR file:
```
LaAl2BiP
1.0
5.183 0.000 0.000
0.000 5.183 0.000
0.000 0.000 6.396
La Al Bi P
1 2 1 1
Direct
0.000 0.000 0.000 La
0.000 0.500 0.500 Al
0.500 0.000 0.500 Al
0.000 0.000 0.500 Bi
0.500 0.500 0.000 P
```

---

Record 2
Entry from Alexandria: a relaxed structure of LaSc2AlBi (PBE).

Output
Space group: P4/mmm
Energy (hartree per atom): -0.179
Formation enthalpy at 0 K (eV per atom): 0.17

POSCAR file:
```
LaSc2AlBi
1.0
5.194 0.000 0.000
0.000 5.194 0.000
0.000 0.000 5.592
La Sc Al Bi
1 2 1 1
Direct
0.000 0.000 0.000 La
0.000 0.500 0.500 Sc
0.500 0.000 0.500 Sc
0.500 0.500 0.500 Al
0.500 0.500 0.000 Bi
```

---

Record 3
Entry from Alexandria: a relaxed structure of La2TaAlBi (PBE).

Output
Space group: P4/mmm
Energy (hartree per atom): -0.184
Formation enthalpy at 0 K (eV per atom): 0.87

POSCAR file:
```
La2TaAlBi
1.0
6.053 0.000 0.000
0.000 6.053 0.000
0.000 0.000 5.226
La Ta Al Bi
2 1 1 1
Direct
0.000 0.500 0.000 La
0.500 0.000 0.000 La
0.000 0.000 0.500 Ta
0.500 0.500 0.500 Al
0.000 0.000 0.000 Bi
```